Entry 1:
VASP calculation (PBE-GGA) on crystalline Sm5UP6 at its relaxed geometry.

Structure (CIF):
```
data_Sm5UP6
_cell_length_a 7.051
_cell_length_b 7.051
_cell_length_c 7.043
_cell_angle_alpha 99.60
_cell_angle_beta 99.60
_cell_angle_gamma 120.01
_space_group_name_H-M_alt 'P 1'
_space_group_IT_number 1
loop_
_space_group_symop_operation_xyz
'x,y,z'
loop_
_atom_site_label
_atom_site_type_symbol
_atom_site_fract_x
_atom_site_fract_y
_atom_site_fract_z
_atom_site_occupancy
Sm1 Sm 0.000 0.000 0.000 1
Sm2 Sm 0.166 0.834 0.500 1
Sm3 Sm 0.331 0.669 0.000 1
Sm4 Sm 0.669 0.331 0.000 1
Sm5 Sm 0.834 0.166 0.500 1
U1 U 0.500 0.500 0.500 1
P1 P 0.098 0.419 0.257 1
P2 P 0.261 0.261 0.743 1
P3 P 0.419 0.098 0.257 1
P4 P 0.581 0.902 0.743 1
P5 P 0.739 0.739 0.257 1
P6 P 0.902 0.581 0.743 1
```

Computed properties:
- formation energy (meV/atom) = -1477

=====

Entry 2:
VASP calculation (PBE-GGA) on crystalline Co2CuAu at its relaxed geometry.

Structure (CIF):
```
data_Co2CuAu
_cell_length_a 8.828
_cell_length_b 8.828
_cell_length_c 8.828
_cell_angle_alpha 17.33
_cell_angle_beta 17.33
_cell_angle_gamma 17.33
_space_group_name_H-M_alt 'P 1'
_space_group_IT_number 1
loop_
_space_group_symop_operation_xyz
'x,y,z'
loop_
_atom_site_label
_atom_site_type_symbol
_atom_site_fract_x
_atom_site_fract_y
_atom_site_fract_z
_atom_site_occupancy
Co1 Co 0.244 0.244 0.244 1
Co2 Co 0.756 0.756 0.756 1
Cu1 Cu 0.500 0.500 0.500 1
Au1 Au 0.000 0.000 0.000 1
```

Computed properties:
- formation energy (meV/atom) = 309

=====

Entry 3:
VASP calculation (PBE-GGA) on crystalline AcTh2FeN4 at its relaxed geometry.

Structure (CIF):
```
data_AcTh2FeN4
_cell_length_a 6.317
_cell_length_b 6.317
_cell_length_c 12.005
_cell_angle_alpha 90.00
_cell_angle_beta 90.00
_cell_angle_gamma 146.21
_space_group_name_H-M_alt 'P 1'
_space_group_IT_number 1
loop_
_space_group_symop_operation_xyz
'x,y,z'
loop_
_atom_site_label
_atom_site_type_symbol
_atom_site_fract_x
_atom_site_fract_y
_atom_site_fract_z
_atom_site_occupancy
Ac1 Ac 0.095 0.905 0.750 1
Ac2 Ac 0.905 0.095 0.250 1
Th1 Th 0.367 0.633 0.557 1
Th2 Th 0.367 0.633 0.943 1
Th3 Th 0.633 0.367 0.057 1
Th4 Th 0.633 0.367 0.443 1
Fe1 Fe 0.170 0.830 0.250 1
Fe2 Fe 0.830 0.170 0.750 1
N1 N 0.000 0.000 0.000 1
N2 N 0.000 0.000 0.500 1
N3 N 0.263 0.737 0.117 1
N4 N 0.263 0.737 0.383 1
N5 N 0.438 0.562 0.750 1
N6 N 0.562 0.438 0.250 1
N7 N 0.737 0.263 0.617 1
N8 N 0.737 0.263 0.883 1
```

Computed properties:
- formation energy (no corrections) (eV/atom) = -1.17

=====

Entry 4:
VASP calculation (PBE-GGA) on crystalline Na2MgReHg at its relaxed geometry.

Structure (CIF):
```
data_Na2MgReHg
_cell_length_a 5.407
_cell_length_b 5.407
_cell_length_c 5.281
_cell_angle_alpha 90.00
_cell_angle_beta 90.00
_cell_angle_gamma 90.00
_space_group_name_H-M_alt 'P 1'
_space_group_IT_number 1
loop_
_space_group_symop_operation_xyz
'x,y,z'
loop_
_atom_site_label
_atom_site_type_symbol
_atom_site_fract_x
_atom_site_fract_y
_atom_site_fract_z
_atom_site_occupancy
Na1 Na 0.000 0.500 0.000 1
Na2 Na 0.500 0.000 0.000 1
Mg1 Mg 0.000 0.000 0.500 1
Re1 Re 0.500 0.500 0.500 1
Hg1 Hg 0.000 0.000 0.000 1
```

Computed properties:
- formation energy (meV/atom) = 1311

=====

Entry 5:
VASP calculation (PBE-GGA) on crystalline ZnTcRh2 at its relaxed geometry.

Structure (CIF):
```
data_ZnTcRh2
_cell_length_a 4.670
_cell_length_b 4.670
_cell_length_c 4.748
_cell_angle_alpha 98.30
_cell_angle_beta 98.30
_cell_angle_gamma 33.58
_space_group_name_H-M_alt 'P 1'
_space_group_IT_number 1
loop_
_space_group_symop_operation_xyz
'x,y,z'
loop_
_atom_site_label
_atom_site_type_symbol
_atom_site_fract_x
_atom_site_fract_y
_atom_site_fract_z
_atom_site_occupancy
Zn1 Zn 0.000 0.000 0.000 1
Tc1 Tc 0.500 0.500 0.500 1
Rh1 Rh 0.250 0.250 0.747 1
Rh2 Rh 0.750 0.750 0.253 1
```

Computed properties:
- formation energy (meV/atom) = -81

=====

Entry 6:
VASP calculation (PBE-GGA) on crystalline NaAgSb2 at its relaxed geometry.

Structure (CIF):
```
data_NaAgSb2
_cell_length_a 6.842
_cell_length_b 6.842
_cell_length_c 6.842
_cell_angle_alpha 100.16
_cell_angle_beta 100.16
_cell_angle_gamma 130.33
_space_group_name_H-M_alt 'P 1'
_space_group_IT_number 1
loop_
_space_group_symop_operation_xyz
'x,y,z'
loop_
_atom_site_label
_atom_site_type_symbol
_atom_site_fract_x
_atom_site_fract_y
_atom_site_fract_z
_atom_site_occupancy
Na1 Na 0.000 0.000 0.000 1
Na2 Na 0.750 0.250 0.500 1
Ag1 Ag 0.250 0.750 0.500 1
Ag2 Ag 0.500 0.500 0.000 1
Sb1 Sb 0.197 0.625 0.072 1
Sb2 Sb 0.375 0.447 0.572 1
Sb3 Sb 0.553 0.125 0.928 1
Sb4 Sb 0.875 0.803 0.428 1
```

Computed properties:
- formation energy (no corrections) (eV/atom) = -0.03
- relative energy among the computed polymorphs (eV per formula unit) = 0.49

=====

Let's list D(E_F) in order: 8.17; 3.13; 2.61; 4.82; 3.47; 2.03 states/eV/f.u..
Let's list calculated total energy in order: -7.089; -5.087; -8.761; -2.086; -6.666; -3.131 eV/atom.